Entry 1:
Tb2GaPt5: relaxed, PBE.

E_form = -0.975 eV/atom
Space-group type = No. 107

Cell: 5.908 5.908 5.908 Å, 119.91 119.91 90.16°
Sites, in units of the cell vectors:
Tb  0.000  0.500  0.500
Tb  0.500  0.000  0.500
Ga  0.089  0.089  0.000
Pt  0.501  0.501  0.000
Pt  0.515  0.515  0.520
Pt  0.515  0.996  0.000
Pt  0.996  0.515  0.000
Pt  0.996  0.996  0.480



Entry 2:
Cs2PuRhS4: relaxed, PBE.

Electronic total energy = -46.9 eV/f.u.
Space-group type = No. 70

Cell: 14.600 13.113 7.873 Å, 84.23 63.33 32.45°
Sites, in units of the cell vectors:
Cs  0.054  0.054  0.696
Cs  0.304  0.304  0.946
Cs  0.696  0.696  0.054
Cs  0.946  0.946  0.304
Pu  0.125  0.125  0.125
Pu  0.875  0.875  0.875
Rh  0.375  0.375  0.375
Rh  0.625  0.625  0.625
S  0.009  0.652  0.542
S  0.297  0.542  0.652
S  0.348  0.991  0.703
S  0.458  0.703  0.991
S  0.542  0.297  0.009
S  0.652  0.009  0.297
S  0.703  0.458  0.348
S  0.991  0.348  0.458